(1)
{
  "formula": "Hf3ZrF",
  "functional": "PBE",
  "state": "relaxed",
  "relative_energy_mev_per_atom": 1679,
  "n_ef_per_ev_cell": 7.988,
  "magmom_total_mub_per_fu": 0.00,
  "formation_energy_uncorrected_ev_per_atom": 1.138,
  "space_group": "Pm-3m, No. 221",
  "cell": [[5.177, 0.000, 0.000], [0.000, 5.177, 0.000], [0.000, 0.000, 5.177]],
  "species": ["Hf", "Hf", "Hf", "Zr", "F"],
  "fractional_positions": [[0.000, 0.000, 0.500], [0.000, 0.500, 0.000], [0.500, 0.000, 0.000], [0.000, 0.000, 0.000], [0.500, 0.500, 0.500]]
}

---

(2)
{
  "formula": "HfZr3F",
  "functional": "PBE",
  "state": "relaxed",
  "relative_energy_mev_per_atom": 0,
  "n_ef_per_ev_cell": 6.477,
  "magmom_total_mub_per_fu": 0.00,
  "formation_energy_uncorrected_ev_per_atom": -0.616,
  "space_group": "Pm-3m, No. 221",
  "cell": [[4.621, 0.000, 0.000], [0.000, 4.621, 0.000], [0.000, 0.000, 4.621]],
  "species": ["Hf", "Zr", "Zr", "Zr", "F"],
  "fractional_positions": [[0.000, 0.000, 0.000], [0.000, 0.500, 0.500], [0.500, 0.000, 0.500], [0.500, 0.500, 0.000], [0.500, 0.500, 0.500]]
}

---

(3)
{
  "formula": "HfZrF2",
  "functional": "PBE",
  "state": "relaxed",
  "relative_energy_mev_per_atom": 178,
  "n_ef_per_ev_cell": 4.961,
  "magmom_total_mub_per_fu": 0.00,
  "formation_energy_uncorrected_ev_per_atom": -1.470,
  "space_group": "I-42d, No. 122",
  "cell": [[-2.502, 2.502, 5.163], [2.502, -2.502, 5.163], [2.502, 2.502, -5.163]],
  "species": ["Hf", "Hf", "Zr", "Zr", "F", "F", "F", "F"],
  "fractional_positions": [[0.000, 0.000, 0.000], [0.750, 0.250, 0.500], [0.250, 0.750, 0.500], [0.500, 0.500, 0.000], [0.102, 0.625, 0.977], [0.375, 0.352, 0.477], [0.648, 0.125, 0.023], [0.875, 0.898, 0.523]]
}

---

(4)
{
  "formula": "HfZr2F",
  "functional": "PBE",
  "state": "relaxed",
  "relative_energy_mev_per_atom": 0,
  "n_ef_per_ev_cell": 10.103,
  "magmom_total_mub_per_fu": 0.00,
  "formation_energy_uncorrected_ev_per_atom": -0.576,
  "space_group": "I-42d, No. 122",
  "cell": [[-3.604, 3.604, 3.072], [3.604, -3.604, 3.072], [3.604, 3.604, -3.072]],
  "species": ["Hf", "Hf", "Zr", "Zr", "Zr", "Zr", "F", "F"],
  "fractional_positions": [[0.000, 0.000, 0.000], [0.750, 0.250, 0.500], [0.213, 0.625, 0.088], [0.375, 0.463, 0.588], [0.537, 0.125, 0.912], [0.875, 0.787, 0.412], [0.250, 0.750, 0.500], [0.500, 0.500, 0.000]]
}

---

(5)
{
  "formula": "Hg5F",
  "functional": "PBE",
  "state": "relaxed",
  "n_ef_per_ev_cell": 1.487,
  "magmom_total_mub_per_fu": 0.00,
  "formation_energy_uncorrected_ev_per_atom": -0.332,
  "space_group": "Cmmm, No. 65",
  "cell": [[2.896, -6.382, 0.000], [2.896, 6.382, 0.000], [0.000, 0.000, 4.034]],
  "species": ["Hg", "Hg", "Hg", "Hg", "Hg", "F"],
  "fractional_positions": [[0.000, 0.000, 0.000], [0.179, 0.821, 0.500], [0.363, 0.637, 0.000], [0.637, 0.363, 0.000], [0.821, 0.179, 0.500], [0.500, 0.500, 0.500]]
}

---

(6)
{
  "formula": "HgF",
  "functional": "PBE",
  "state": "relaxed",
  "relative_energy_mev_per_atom": 24,
  "n_ef_per_ev_cell": 0.000,
  "magmom_total_mub_per_fu": 0.00,
  "formation_energy_uncorrected_ev_per_atom": -1.183,
  "space_group": "P-1, No. 2",
  "cell": [[4.508, 0.000, 0.000], [2.217, 5.674, 0.000], [1.795, 0.824, 7.204]],
  "species": ["Hg", "Hg", "Hg", "Hg", "F", "F", "F", "F"],
  "fractional_positions": [[0.045, 0.099, 0.276], [0.292, 0.652, 0.234], [0.708, 0.348, 0.766], [0.955, 0.901, 0.724], [0.165, 0.538, 0.655], [0.499, 0.292, 0.149], [0.501, 0.708, 0.851], [0.835, 0.462, 0.345]]
}